# NbNiBi2O6

Crystalline NbNiBi2O6 at its relaxed geometry (PBE with a Hubbard U, the Alexandria database).

Results
The total magnetic moment is 1.759 μB/f.u. The electronic total energy comes out at -65.3 eV/cell.

Cell lengths 5.643, 5.645, 5.646 Å; angles 61.69, 61.74, 61.80 degrees
Element x y z (fractional)
Nb 0.000 0.000 0.000
Ni 0.516 0.516 0.516
Bi 0.232 0.232 0.232
Bi 0.759 0.759 0.760
O 0.178 0.351 0.807
O 0.296 0.852 0.693
O 0.351 0.808 0.179
O 0.693 0.295 0.852
O 0.807 0.178 0.351
O 0.852 0.692 0.296